1.
{
  "formula": "Ti2SbTe",
  "functional": "PBE",
  "state": "relaxed",
  "cell": [[6.349, 0.000, 0.000], [0.000, 6.349, 0.000], [3.175, 3.175, 6.323]],
  "species": ["Ti", "Ti", "Ti", "Ti", "Sb", "Sb", "Te", "Te"],
  "frac_coords": [[0.128, 0.625, 0.250], [0.622, 0.125, 0.250], [0.875, 0.872, 0.750], [0.375, 0.378, 0.750], [0.500, 0.500, 0.000], [0.250, 0.750, 0.500], [0.750, 0.250, 0.500], [0.000, 0.000, 0.000]],
  "dft_energy_ha_per_atom": -0.210,
  "spacegroup": "I-42d",
  "polymorph_energy_ev_per_atom": 0.617
}

2.
{
  "formula": "Y3GaNi8",
  "functional": "PBE",
  "state": "relaxed",
  "cell": [[5.010, 0.000, 0.000], [2.505, 4.339, 0.000], [2.505, 1.446, 8.166]],
  "species": ["Y", "Y", "Y", "Ni", "Ni", "Ni", "Ni", "Ni", "Ni", "Ni", "Ni", "Ga"],
  "frac_coords": [[0.991, 0.991, 0.027], [0.506, 0.506, 0.481], [0.377, 0.377, 0.868], [0.939, 0.441, 0.682], [0.941, 0.436, 0.187], [0.436, 0.436, 0.187], [0.189, 0.189, 0.433], [0.939, 0.939, 0.682], [0.436, 0.941, 0.187], [0.441, 0.939, 0.682], [0.689, 0.689, 0.934], [0.867, 0.867, 0.400]],
  "dft_energy_ha_per_atom": -0.226,
  "spacegroup": "R3m",
  "ef_ev_per_atom": -0.415
}